1.
A plane-wave DFT calculation with GGA-PBE was carried out for CaTh2Hg after structural relaxation.

abc: 12.467 12.467 12.467
angles: 15.98 15.98 15.98
Element x y z (fractional)
1 Ca 0.000 0.000 0.000
2 Th 0.094 0.094 0.094
3 Th 0.906 0.906 0.906
4 Hg 0.500 0.500 0.500

Summary:
For the total magnetization, the calculation gives 0.000 μB per formula unit. The formation energy is 0.15 eV/atom.

---

2.
A plane-wave DFT calculation with GGA-PBE was carried out for CaTh2Hg6 after structural relaxation.

abc: 8.757 8.757 3.449
angles: 90.00 90.00 120.00
Element x y z (fractional)
1 Ca 0.000 0.000 0.000
2 Th 0.333 0.667 0.000
3 Th 0.667 0.333 0.000
4 Hg 0.000 0.331 0.500
5 Hg 0.000 0.669 0.500
6 Hg 0.331 0.000 0.500
7 Hg 0.331 0.331 0.500
8 Hg 0.669 0.000 0.500
9 Hg 0.669 0.669 0.500

Summary:
For the total magnetization, the calculation gives 0.000 μB per formula unit. The formation energy is -0.32 eV/atom.

---

3.
A plane-wave DFT calculation with GGA-PBE was carried out for CaTh3Hg4 after structural relaxation.

abc: 3.783 3.783 15.614
angles: 90.00 90.00 90.00
Element x y z (fractional)
1 Ca 0.000 0.000 0.000
2 Th 0.000 0.000 0.250
3 Th 0.000 0.000 0.500
4 Th 0.000 0.000 0.750
5 Hg 0.500 0.500 0.124
6 Hg 0.500 0.500 0.375
7 Hg 0.500 0.500 0.625
8 Hg 0.500 0.500 0.876

Summary:
For the total magnetization, the calculation gives 0.000 μB per formula unit. The formation energy is -0.28 eV/atom.

---

4.
A plane-wave DFT calculation with GGA-PBE was carried out for Ca4ThHg5 after structural relaxation.

abc: 3.767 3.767 19.275
angles: 90.00 90.00 90.00
Element x y z (fractional)
1 Ca 0.000 0.000 0.099
2 Ca 0.000 0.000 0.297
3 Ca 0.000 0.000 0.703
4 Ca 0.000 0.000 0.901
5 Th 0.000 0.000 0.500
6 Hg 0.500 0.500 0.000
7 Hg 0.500 0.500 0.198
8 Hg 0.500 0.500 0.397
9 Hg 0.500 0.500 0.603
10 Hg 0.500 0.500 0.802

Summary:
For the total magnetization, the calculation gives 0.000 μB per formula unit. The formation energy is -0.48 eV/atom.

---

5.
A plane-wave DFT calculation with GGA-PBE was carried out for Ca5ThHg6 after structural relaxation.

abc: 8.446 8.446 7.677
angles: 90.00 90.00 143.04
Element x y z (fractional)
1 Ca 0.000 0.000 0.000
2 Ca 0.331 0.669 0.500
3 Ca 0.333 0.667 0.000
4 Ca 0.667 0.333 0.000
5 Ca 0.669 0.331 0.500
6 Th 0.000 0.000 0.500
7 Hg 0.165 0.835 0.251
8 Hg 0.165 0.835 0.749
9 Hg 0.500 0.500 0.255
10 Hg 0.500 0.500 0.745
11 Hg 0.835 0.165 0.251
12 Hg 0.835 0.165 0.749

Summary:
For the total magnetization, the calculation gives 0.000 μB per formula unit. The formation energy is -0.49 eV/atom.

---

6.
A plane-wave DFT calculation with GGA-PBE was carried out for CaTh2Hg3 after structural relaxation.

abc: 3.544 3.544 13.006
angles: 90.00 90.00 90.00
Element x y z (fractional)
1 Ca 0.000 0.000 0.000
2 Th 0.000 0.000 0.328
3 Th 0.000 0.000 0.672
4 Hg 0.500 0.500 0.157
5 Hg 0.500 0.500 0.500
6 Hg 0.500 0.500 0.843

Summary:
For the total magnetization, the calculation gives 0.000 μB per formula unit. The formation energy is -0.32 eV/atom.

---

7.
A plane-wave DFT calculation with GGA-PBE was carried out for Ca2ThHg after structural relaxation.

abc: 3.591 3.591 9.720
angles: 90.00 90.00 90.00
Element x y z (fractional)
1 Ca 0.000 0.000 0.210
2 Ca 0.000 0.000 0.790
3 Th 0.500 0.500 0.500
4 Hg 0.500 0.500 0.000

Summary:
For the total magnetization, the calculation gives 0.000 μB per formula unit. The value obtained for the energy above the most stable polymorph in this dataset is 0 meV per atom. The formation energy is -0.12 eV/atom.

---

8.
A plane-wave DFT calculation with GGA-PBE was carried out for Ca2ThHg6 after structural relaxation.

abc: 8.740 8.740 3.483
angles: 90.00 90.00 120.00
Element x y z (fractional)
1 Ca 0.333 0.667 0.000
2 Ca 0.667 0.333 0.000
3 Th 0.000 0.000 0.000
4 Hg 0.000 0.336 0.500
5 Hg 0.000 0.664 0.500
6 Hg 0.336 0.000 0.500
7 Hg 0.336 0.336 0.500
8 Hg 0.664 0.000 0.500
9 Hg 0.664 0.664 0.500

Summary:
For the total magnetization, the calculation gives 0.000 μB per formula unit. The formation energy is -0.38 eV/atom.

---

9.
A plane-wave DFT calculation with GGA-PBE was carried out for CaThHg2 after structural relaxation.

abc: 3.699 3.699 8.044
angles: 90.00 90.00 90.00
Element x y z (fractional)
1 Ca 0.000 0.000 0.000
2 Th 0.000 0.000 0.500
3 Hg 0.500 0.500 0.242
4 Hg 0.500 0.500 0.758

Summary:
For the total magnetization, the calculation gives 0.000 μB per formula unit. The formation energy is -0.38 eV/atom.

---

10.
A plane-wave DFT calculation with GGA-PBE was carried out for CaThTlHg after structural relaxation.

abc: 5.452 5.452 5.452
angles: 60.00 60.00 60.00
Element x y z (fractional)
1 Ca 0.000 0.000 0.000
2 Th 0.500 0.500 0.500
3 Tl 0.250 0.250 0.250
4 Hg 0.750 0.750 0.750

Summary:
For the total magnetization, the calculation gives 0.000 μB per formula unit. The value obtained for the energy above the most stable polymorph in this dataset is 53 meV per atom. The formation energy is -0.27 eV/atom.

---

11.
A plane-wave DFT calculation with GGA-PBE was carried out for CaThTlHg after structural relaxation.

abc: 3.681 3.681 8.366
angles: 90.00 90.00 90.00
Element x y z (fractional)
1 Ca 0.000 0.000 0.000
2 Th 0.000 0.000 0.518
3 Tl 0.500 0.500 0.252
4 Hg 0.500 0.500 0.766

Summary:
For the total magnetization, the calculation gives 0.000 μB per formula unit. The value obtained for the energy above the most stable polymorph in this dataset is 0 meV per atom. The formation energy is -0.33 eV/atom.

---

12.
A plane-wave DFT calculation with GGA-PBE was carried out for CaTiHg after structural relaxation.

abc: 4.995 4.995 6.731
angles: 90.00 90.00 120.00
Element x y z (fractional)
1 Ca 0.000 0.000 0.000
2 Ca 0.333 0.667 0.684
3 Ti 0.000 0.000 0.452
4 Ti 0.667 0.333 0.329
5 Hg 0.333 0.667 0.244
6 Hg 0.667 0.333 0.757

Summary:
For the total magnetization, the calculation gives 1.931 μB per formula unit. The value obtained for the energy above the most stable polymorph in this dataset is 10 meV per atom. The formation energy is -0.01 eV/atom.